An optimized crystal structure of NaSrSbPt. Source: OQMD, functional GGA-PBE.

Energy above the lowest structure with this stoichiometry ... 0.79 eV per formula unit
Magnetic moment ... 0.001 μB/atom
Symmetry ... F-43m, No. 216

Lattice parameters (Å, degrees): 5.2479 5.2479 5.2479 60.00 60.00 60.00
Element x y z (fractional)
Sb1 0.0000 0.0000 0.0000
Sr1 0.2500 0.2500 0.2500
Pt1 0.5000 0.5000 0.5000
Na1 0.7500 0.7500 0.7500

=====

An optimized crystal structure of NaSrSbPt. Source: OQMD, functional GGA-PBE.

Energy above the lowest structure with this stoichiometry ... 0.43 eV per formula unit
Magnetic moment ... 0.000 μB/atom
Symmetry ... F-43m, No. 216

Lattice parameters (Å, degrees): 5.0793 5.0793 5.0793 60.00 60.00 60.00
Element x y z (fractional)
Sb1 0.2500 0.2500 0.2500
Na1 0.7500 0.7500 0.7500
Sr1 0.5000 0.5000 0.5000
Pt1 0.0000 0.0000 0.0000

=====

An optimized crystal structure of NaSrSbPt. Source: OQMD, functional GGA-PBE.

Energy above the lowest structure with this stoichiometry ... 0.00 eV per formula unit
Magnetic moment ... 0.000 μB/atom
Symmetry ... F-43m, No. 216

Lattice parameters (Å, degrees): 5.0597 5.0597 5.0597 60.00 60.00 60.00
Element x y z (fractional)
Pt1 0.2500 0.2500 0.2500
Sb1 0.0000 0.0000 0.0000
Na1 0.7500 0.7500 0.7500
Sr1 0.5000 0.5000 0.5000

=====

An optimized crystal structure of NaScPtSe3. Source: OQMD, functional GGA-PBE.

Total energy ... -5.015 eV/atom
Magnetic moment ... 0.000 μB/atom
Symmetry ... Cmcm, No. 63

Lattice parameters (Å, degrees): 7.5464 7.5464 9.8309 90.00 90.00 150.54
Element x y z (fractional)
Sc1 0.0000 0.0000 0.5000
Sc2 0.0000 0.0000 0.0000
Se1 0.0970 0.9030 0.2500
Se2 0.3718 0.6282 0.0625
Se3 0.6282 0.3718 0.5625
Se4 0.9030 0.0970 0.7500
Se5 0.6282 0.3718 0.9375
Se6 0.3718 0.6282 0.4375
Pt1 0.4864 0.5136 0.2500
Pt2 0.5136 0.4864 0.7500
Na1 0.7724 0.2276 0.2500
Na2 0.2276 0.7724 0.7500

=====

An optimized crystal structure of NaSmPtSe3. Source: OQMD, functional GGA-PBE.

Total energy ... -4.818 eV/atom
Magnetic moment ... 0.000 μB/atom
Symmetry ... Cmcm, No. 63

Lattice parameters (Å, degrees): 7.5347 7.5347 10.4361 90.00 90.00 149.18
Element x y z (fractional)
Se1 0.6357 0.3643 0.5829
Se2 0.6357 0.3643 0.9171
Se3 0.0976 0.9024 0.2500
Se4 0.3643 0.6357 0.4171
Se5 0.9024 0.0976 0.7500
Se6 0.3643 0.6357 0.0829
Na1 0.7655 0.2345 0.2500
Na2 0.2345 0.7655 0.7500
Sm1 0.0000 0.0000 0.0000
Sm2 0.0000 0.0000 0.5000
Pt1 0.4900 0.5100 0.2500
Pt2 0.5100 0.4900 0.7500

=====

An optimized crystal structure of NaTbPtSe3. Source: OQMD, functional GGA-PBE.

Total energy ... -4.811 eV/atom
Magnetic moment ... 0.001 μB/atom
Symmetry ... Cmcm, No. 63

Lattice parameters (Å, degrees): 7.5136 7.5136 10.2635 90.00 90.00 149.32
Element x y z (fractional)
Se1 0.6342 0.3658 0.4218
Se2 0.3658 0.6342 0.5782
Se3 0.9009 0.0991 0.2500
Se4 0.6342 0.3658 0.0782
Se5 0.0991 0.9009 0.7500
Se6 0.3658 0.6342 0.9218
Na1 0.2323 0.7677 0.2500
Na2 0.7677 0.2323 0.7500
Pt1 0.5098 0.4902 0.2500
Pt2 0.4902 0.5098 0.7500
Tb1 0.0000 0.0000 0.0000
Tb2 0.0000 0.0000 0.5000

=====

An optimized crystal structure of NaZrPtSe3. Source: OQMD, functional GGA-PBE.

Total energy ... -5.358 eV/atom
Magnetic moment ... 0.001 μB/atom
Symmetry ... Cmcm, No. 63

Lattice parameters (Å, degrees): 7.4128 7.4128 10.0476 90.00 90.00 150.64
Element x y z (fractional)
Se1 0.3640 0.6360 0.0532
Se2 0.3640 0.6360 0.4468
Se3 0.6360 0.3640 0.9468
Se4 0.6360 0.3640 0.5532
Se5 0.0900 0.9100 0.2500
Se6 0.9100 0.0900 0.7500
Pt1 0.4742 0.5258 0.2500
Pt2 0.5258 0.4742 0.7500
Na1 0.7709 0.2291 0.2500
Na2 0.2291 0.7709 0.7500
Zr1 0.0000 0.0000 0.0000
Zr2 0.0000 0.0000 0.5000

=====

An optimized crystal structure of NaSiPt. Source: OQMD, functional GGA-PBE.

Total energy ... -3.594 eV/atom
Magnetic moment ... 0.001 μB/atom
Symmetry ... F-43m, No. 216

Lattice parameters (Å, degrees): 4.3189 4.3189 4.3189 60.00 60.00 60.00
Element x y z (fractional)
Si1 0.7500 0.7500 0.7500
Pt1 0.2500 0.2500 0.2500
Na1 0.0000 0.0000 0.0000